# 1
The following is a GGA-PBE calculation of a relaxed NbW crystal, from the Alexandria database.

Computed properties:
Final energy: -11.577 eV/atom
Density: 13.51 g/cm³
Crystal system: tetragonal

abc: 4.576 4.576 6.496
angles: 90.00 90.00 90.00
Fractional coordinates of all 8 atoms:
Nb (0.250, 0.250, 0.246)
Nb (0.250, 0.750, 0.500)
Nb (0.750, 0.250, 0.500)
Nb (0.750, 0.750, 0.754)
W (0.250, 0.250, 0.757)
W (0.250, 0.750, 0.000)
W (0.750, 0.250, 0.000)
W (0.750, 0.750, 0.243)

---

# 2
The following is a GGA-PBE calculation of a relaxed Nb5W2 crystal, from the Alexandria database.

Computed properties:
Excess energy over the best structure of this formula in the dataset: 0.000 eV per atom
Density: 11.27 g/cm³
Crystal system: tetragonal

abc: 3.258 3.258 23.103
angles: 90.00 90.00 90.00
Fractional coordinates of all 14 atoms:
Nb (0.000, 0.000, 0.000)
Nb (0.000, 0.000, 0.146)
Nb (0.000, 0.000, 0.427)
Nb (0.000, 0.000, 0.573)
Nb (0.000, 0.000, 0.854)
Nb (0.500, 0.500, 0.073)
Nb (0.500, 0.500, 0.354)
Nb (0.500, 0.500, 0.500)
Nb (0.500, 0.500, 0.646)
Nb (0.500, 0.500, 0.927)
W (0.000, 0.000, 0.283)
W (0.000, 0.000, 0.717)
W (0.500, 0.500, 0.217)
W (0.500, 0.500, 0.783)

---

Question: Which formula does entry 2 have?
Answer: Nb5W2

---

Question: What is the formula in the second record?
Answer: Nb5W2

---

Copy entry 2 word for word.
The following is a GGA-PBE calculation of a relaxed Nb5W2 crystal, from the Alexandria database.

Computed properties:
Excess energy over the best structure of this formula in the dataset: 0.000 eV per atom
Density: 11.27 g/cm³
Crystal system: tetragonal

abc: 3.258 3.258 23.103
angles: 90.00 90.00 90.00
Fractional coordinates of all 14 atoms:
Nb (0.000, 0.000, 0.000)
Nb (0.000, 0.000, 0.146)
Nb (0.000, 0.000, 0.427)
Nb (0.000, 0.000, 0.573)
Nb (0.000, 0.000, 0.854)
Nb (0.500, 0.500, 0.073)
Nb (0.500, 0.500, 0.354)
Nb (0.500, 0.500, 0.500)
Nb (0.500, 0.500, 0.646)
Nb (0.500, 0.500, 0.927)
W (0.000, 0.000, 0.283)
W (0.000, 0.000, 0.717)
W (0.500, 0.500, 0.217)
W (0.500, 0.500, 0.783)